Compound: SrTi2BeI
Source: Alexandria via LeMat-Bulk
Functional: GGA-PBEsol
Structure: optimized geometry

a b c (Å): 5.0976 5.0976 5.7552
angles (deg): 90.00 90.00 90.00
Closest atoms and distances in Å follow each position.
Space group P4/mmm (No. 123)
Inequivalent atoms, fractional coordinates:
Sr  0.0000  0.0000  0.0000  4 Ti 2.55
Ti  0.0000  0.5000  0.0000  2 Sr 2.55
Be  0.5000  0.5000  0.5000  4 I 3.60, 8 Ti 3.84
I  0.0000  0.0000  0.5000  2 Sr 2.88

Values from the calculation:
Final energy, eV per atom: -2.818
Raw formation energy, meV/atom: 2033
Calculated density, g/cm³: 3.5

---

Compound: ZnH2Rh2
Source: Alexandria via LeMat-Bulk
Functional: GGA-PBEsol
Structure: optimized geometry

a b c (Å): 2.9747 2.9747 10.3451
angles (deg): 90.00 90.00 90.00
Closest atoms and distances in Å follow each position.
Space group I4/mmm (No. 139)
Inequivalent atoms, fractional coordinates:
Zn  0.0000  0.0000  0.0000  8 Rh 2.59
H  0.0000  0.5000  0.2500  4 Rh 1.84
Rh  0.0000  0.0000  0.3544  4 H 1.84

Values from the calculation:
Final energy, eV per atom: -5.083
Calculated density, g/cm³: 9.9

---

Compound: InOs2Cl
Source: Alexandria via LeMat-Bulk
Functional: GGA-PBEsol
Structure: optimized geometry

a b c (Å): 3.0428 3.0428 6.6007
angles (deg): 90.00 90.00 90.00
Closest atoms and distances in Å follow each position.
Space group P4/mmm (No. 123)
Inequivalent atoms, fractional coordinates:
In  0.0000  0.0000  0.0000  8 Os 2.81, 4 In 3.04
Os  0.5000  0.5000  0.2743  4 Cl 2.62, 4 In 2.81
Cl  0.0000  0.0000  0.5000  8 Os 2.62

Values from the calculation:
Final energy, eV per atom: -6.221
Raw formation energy, meV/atom: 1135
Calculated density, g/cm³: 14.4
Excess energy over the best structure of this formula in the dataset, meV/atom: 323.4

---

Compound: Cu2O
Source: Alexandria via LeMat-Bulk
Functional: GGA-PBEsol
Structure: optimized geometry

a b c (Å): 4.2135 4.2135 4.2135
angles (deg): 90.00 90.00 90.00
Closest atoms and distances in Å follow each position.
Space group Pn-3m (No. 224, origin choice 2)
Inequivalent atoms, fractional coordinates:
Cu  0.0000  0.0000  0.0000  2 O 1.82
O  0.2500  0.2500  0.2500  4 Cu 1.82

Values from the calculation:
Final energy, eV per atom: -5.007
Raw formation energy, meV/atom: -368
Calculated density, g/cm³: 6.4

---

Compound: RbNiAgBi2
Source: Alexandria via LeMat-Bulk
Functional: GGA-PBEsol
Structure: optimized geometry

a b c (Å): 6.0070 6.0070 4.4921
angles (deg): 90.00 90.00 90.00
Closest atoms and distances in Å follow each position.
Space group P4/mmm (No. 123)
Inequivalent atoms, fractional coordinates:
Rb  0.0000  0.0000  0.0000  2 Ni 2.25
Ni  0.0000  0.0000  0.5000  2 Rb 2.25
Ag  0.5000  0.5000  0.5000  8 Bi 3.75
Bi  0.0000  0.5000  0.0000  2 Rb 3.00

Values from the calculation:
E_form, eV/atom: 1.71
Final energy, eV per atom: -2.103
Calculated density, g/cm³: 6.9

---

Compound: Al3C
Source: Alexandria via LeMat-Bulk
Functional: GGA-PBEsol
Structure: optimized geometry

a b c (Å): 3.0035 3.0035 6.8964
angles (deg): 90.00 90.00 120.00
Closest atoms and distances in Å follow each position.
Space group P-6m2 (No. 187)
Inequivalent atoms, fractional coordinates:
Al  0.0000  0.0000  0.0000  12 Al 2.85-3.00
Al  0.6667  0.3333  0.3282  3 C 2.10
C  0.0000  0.0000  0.5000  6 Al 2.10

Values from the calculation:
E_form, eV/atom: 0.25
Final energy, eV per atom: -5.231
Calculated density, g/cm³: 2.9
Excess energy over the best structure of this formula in the dataset, meV/atom: 234.3

---

Compound: CdNiPb2
Source: Alexandria via LeMat-Bulk
Functional: GGA-PBEsol
Structure: optimized geometry

a b c (Å): 3.2169 3.2169 8.4836
angles (deg): 90.00 90.00 90.00
Closest atoms and distances in Å follow each position.
Space group P4mm (No. 99)
Inequivalent atoms, fractional coordinates:
Cd  0.0000  0.0000  0.0000  4 Ni 2.71
Ni  0.5000  0.5000  0.1730  4 Cd 2.71, 4 Pb 2.82
Pb  0.0000  0.0000  0.3692  4 Ni 2.82, 1 Cd 3.13
Pb  0.5000  0.5000  0.7174  4 Pb 3.22, 4 Cd 3.30

Values from the calculation:
E_form, eV/atom: 0.11
Final energy, eV per atom: -3.727
Calculated density, g/cm³: 11.1
Excess energy over the best structure of this formula in the dataset, meV/atom: 0.0

---

Compound: Ag3BSe
Source: Alexandria via LeMat-Bulk
Functional: GGA-PBEsol
Structure: optimized geometry

a b c (Å): 4.3647 4.3647 4.3647
angles (deg): 90.00 90.00 90.00
Closest atoms and distances in Å follow each position.
Space group Pm-3m (No. 221)
Inequivalent atoms, fractional coordinates:
Ag  0.0000  0.0000  0.5000  2 B 2.18
B  0.0000  0.0000  0.0000  6 Ag 2.18
Se  0.5000  0.5000  0.5000  12 Ag 3.09

Values from the calculation:
Final energy, eV per atom: -3.578
Raw formation energy, meV/atom: 582
Calculated density, g/cm³: 8.3

---

Compound: Mg3Cd
Source: Alexandria via LeMat-Bulk
Functional: GGA-PBEsol
Structure: optimized geometry

a b c (Å): 10.4660 3.2556 5.2403
angles (deg): 90.00 103.92 90.00
Closest atoms and distances in Å follow each position.
Space group C2/m (No. 12)
Inequivalent atoms, fractional coordinates:
Mg  0.0000  0.0000  0.0000  4 Cd 3.08, 8 Mg 3.14-3.26
Mg  0.2429  0.0000  0.7447  3 Cd 3.03-3.25, 9 Mg 3.07-3.26
Cd  0.0000  0.5000  0.5000  10 Mg 3.03-3.25, 2 Cd 3.26

Values from the calculation:
E_form, eV/atom: -0.05
Final energy, eV per atom: -1.636
Calculated density, g/cm³: 3.6

---

Compound: LiNiSb2
Source: Alexandria via LeMat-Bulk
Functional: GGA-PBEsol
Structure: optimized geometry

a b c (Å): 3.6933 4.3863 4.4293
angles (deg): 90.00 90.00 90.00
Closest atoms and distances in Å follow each position.
Space group Pmmm (No. 47)
Inequivalent atoms, fractional coordinates:
Li  0.0000  0.0000  0.0000  8 Sb 2.87-2.88, 4 Ni 3.12
Ni  0.0000  0.5000  0.5000  8 Sb 2.87-2.88, 4 Li 3.12
Sb  0.5000  0.0000  0.5000  4 Ni 2.87, 4 Li 2.88, 4 Sb 3.12
Sb  0.5000  0.5000  0.0000  4 Li 2.87, 4 Ni 2.88, 4 Sb 3.12

Values from the calculation:
Final energy, eV per atom: -4.410
Raw formation energy, meV/atom: -101
Calculated density, g/cm³: 7.2
Excess energy over the best structure of this formula in the dataset, meV/atom: 73.5

---

Compound: FeTc2Os
Source: Alexandria via LeMat-Bulk
Functional: GGA-PBEsol
Structure: optimized geometry

a b c (Å): 3.7603 3.7603 7.4138
angles (deg): 90.00 90.00 90.00
Closest atoms and distances in Å follow each position.
Space group I-4m2 (No. 119)
Inequivalent atoms, fractional coordinates:
Fe  0.0000  0.0000  0.0000  8 Tc 2.64-2.66, 4 Os 2.64
Tc  0.0000  0.0000  0.5000  4 Tc 2.64, 4 Os 2.64, 4 Fe 2.66
Tc  0.0000  0.5000  0.7500  4 Fe 2.64, 4 Tc 2.64, 4 Os 2.66
Os  0.0000  0.5000  0.2500  4 Fe 2.64, 8 Tc 2.64-2.66

Values from the calculation:
E_form, eV/atom: 0.08
Final energy, eV per atom: -10.850
Calculated density, g/cm³: 14.0
Excess energy over the best structure of this formula in the dataset, meV/atom: 0.0

---

Compound: In2O3
Source: Alexandria via LeMat-Bulk
Functional: GGA-PBEsol
Structure: optimized geometry

a b c (Å): 7.9757 5.5254 5.6156
angles (deg): 90.00 90.00 90.00
Closest atoms and distances in Å follow each position.
Space group Pbcn (No. 60)
Inequivalent atoms, fractional coordinates:
In  0.1149  0.2476  0.0286  6 O 2.14-2.30
O  0.0000  0.0420  0.7500  4 In 2.14-2.22
O  0.1504  0.3899  0.3955  4 In 2.15-2.30

Values from the calculation:
Final energy, eV per atom: -5.924
Raw formation energy, meV/atom: -1581
Calculated density, g/cm³: 7.5

---

Compound: RuSN2F
Source: Alexandria via LeMat-Bulk
Functional: GGA-PBEsol
Structure: optimized geometry

a b c (Å): 3.4007 3.4007 4.7531
angles (deg): 90.00 90.00 90.00
Closest atoms and distances in Å follow each position.
Space group P4/mmm (No. 123)
Inequivalent atoms, fractional coordinates:
Ru  0.0000  0.0000  0.0000  4 F 2.40
S  0.5000  0.5000  0.5000  4 N 1.70
N  0.0000  0.5000  0.5000  2 S 1.70
F  0.5000  0.5000  0.0000  2 S 2.38, 4 Ru 2.40

Values from the calculation:
Final energy, eV per atom: -5.277
Raw formation energy, meV/atom: 1431
Calculated density, g/cm³: 5.4
Excess energy over the best structure of this formula in the dataset, meV/atom: 752.2

---

Compound: Ca2BP
Source: Alexandria via LeMat-Bulk
Functional: GGA-PBEsol
Structure: optimized geometry

a b c (Å): 6.7215 6.7215 6.7215
angles (deg): 90.00 90.00 90.00
Closest atoms and distances in Å follow each position.
Space group Fm-3m (No. 225)
Inequivalent atoms, fractional coordinates:
Ca  0.2500  0.2500  0.2500  4 B 2.91, 4 P 2.91
B  0.0000  0.0000  0.0000  8 Ca 2.91
P  0.0000  0.0000  0.5000  8 Ca 2.91

Values from the calculation:
E_form, eV/atom: -0.01
Final energy, eV per atom: -4.280
Calculated density, g/cm³: 2.7
Excess energy over the best structure of this formula in the dataset, meV/atom: 0.0